The following is a SCAN calculation of a PBEsol-optimized structure of MgGa2AuC, from the Alexandria database.

extended XYZ file:
```
5
Lattice="-1.330 0.497 4.016 2.629 -3.064 1.251 3.035 2.869 0.650" Properties=species:S:1:pos:R:3 pbc="T T T"
Mg -0.665 0.249 2.008
Au 2.167 0.151 2.958
C 0.000 0.000 0.000
Ga 1.517 1.435 0.325
Ga 1.314 -1.532 0.625
```

Summary:
As for the space group: P4/mmm (123). Its spin magnetization is 0.0000 μB per atom. The calculation puts the energy relative to the elements at 0.293 eV per atom.